No. 1
{"formula": "Li2CdPb", "functional": "PBE", "state": "optimized geometry", "lattice": [[4.8322, 0.0000, 0.0000], [0.0000, 4.8322, 0.0000], [0.0000, 0.0000, 3.3942]], "species": ["Li", "Li", "Cd", "Pb"], "fractional_positions": [[0.0000, 0.5000, 0.0000], [0.5000, 0.0000, 0.0000], [0.0000, 0.0000, 0.5000], [0.5000, 0.5000, 0.5000]], "relative_energy_mev_per_atom": 8}

=====

No. 2
{"formula": "YTmAs", "functional": "PBE", "state": "optimized geometry", "lattice": [[0.0000, 3.3835, 3.3835], [3.3835, 0.0000, 3.3835], [3.3835, 3.3835, 0.0000]], "species": ["Y", "Tm", "As"], "fractional_positions": [[0.0000, 0.0000, 0.0000], [0.5000, 0.5000, 0.5000], [0.7500, 0.7500, 0.7500]], "dft_energy_ev_per_atom": -5.92}

=====

No. 3
{"formula": "Sm2GaNiI2", "functional": "PBE", "state": "optimized geometry", "lattice": [[4.2067, 0.0000, 0.0000], [-2.1033, 3.6431, 0.0000], [0.0000, 0.0000, 12.2071]], "species": ["Sm", "Sm", "Ga", "Ni", "I", "I"], "fractional_positions": [[0.0000, 0.0000, 0.0000], [0.0000, 0.0000, 0.3108], [0.6667, 0.3333, 0.1533], [0.3333, 0.6667, 0.1587], [0.3333, 0.6667, 0.8261], [0.6667, 0.3333, 0.4864]], "dft_energy_ev_per_atom": -4.51}

=====

No. 4
{"formula": "NaOsSeO", "functional": "PBE", "state": "optimized geometry", "lattice": [[3.7490, 0.0000, 0.0000], [0.0000, 6.6440, 0.0000], [0.0000, 0.0000, 5.6482]], "species": ["Na", "Na", "Os", "Os", "Se", "Se", "O", "O"], "fractional_positions": [[0.0000, 0.1180, 0.0000], [0.0000, 0.8820, 0.5000], [0.5000, 0.4988, 0.2830], [0.5000, 0.5012, 0.7830], [0.0000, 0.3303, 0.5261], [0.0000, 0.6697, 0.0261], [0.5000, 0.2841, 0.0330], [0.5000, 0.7159, 0.5330]], "relative_energy_mev_per_atom": 0}

=====

No. 5
{"formula": "PrCu2", "functional": "PBE", "state": "optimized geometry", "lattice": [[0.0000, 3.3342, 3.3342], [3.3342, 0.0000, 3.3342], [3.3342, 3.3342, 0.0000]], "species": ["Pr", "Cu", "Cu"], "fractional_positions": [[0.0000, 0.0000, 0.0000], [0.2500, 0.2500, 0.2500], [0.7500, 0.7500, 0.7500]], "formation_enthalpy_0k_ev_per_atom": 0.40}

=====

No. 6
{"formula": "CuTcSnIr", "functional": "PBE", "state": "optimized geometry", "lattice": [[0.0000, 3.1456, 3.1456], [3.1456, 0.0000, 3.1456], [3.1456, 3.1456, 0.0000]], "species": ["Cu", "Tc", "Sn", "Ir"], "fractional_positions": [[0.0000, 0.0000, 0.0000], [0.5000, 0.5000, 0.5000], [0.7500, 0.7500, 0.7500], [0.2500, 0.2500, 0.2500]], "relative_energy_mev_per_atom": 0}